TbPmHo2Er2 after structural relaxation. Source: Alexandria via LeMat-Bulk, functional PBE.

Lattice parameters (Å, degrees): 5.6100 9.7384 6.8929 90.00 90.00 90.00
Fractional positions:
Tb: 0.0000 0.0000 0.5000
Tb: 0.5000 0.5000 0.0000
Er: 0.5000 0.8336 0.7495
Er: 0.5000 0.1664 0.2505
Er: 0.0000 0.6664 0.2495
Er: 0.0000 0.3336 0.7505
Ho: 0.0000 0.6667 0.7509
Ho: 0.5000 0.8333 0.2509
Ho: 0.5000 0.1667 0.7491
Ho: 0.0000 0.3333 0.2491
Pm: 0.5000 0.5000 0.5000
Pm: 0.0000 0.0000 0.0000

Summary:
The value obtained for the total energy is -4.54 eV per atom. The symmetry is No. 58.

=====

TbPm6HoEr2 after structural relaxation. Source: Alexandria via LeMat-Bulk, functional PBE.

Lattice parameters (Å, degrees): 9.5974 8.8960 8.8960 117.61 93.77 93.77
Fractional positions:
Pm: 0.3140 0.9889 0.4365
Pm: 0.0546 0.1169 0.7606
Pm: 0.4454 0.2394 0.8831
Pm: 0.3816 0.5106 0.2924
Pm: 0.1860 0.5635 0.0111
Pm: 0.6860 0.0111 0.5635
Pm: 0.8140 0.4365 0.9889
Pm: 0.1184 0.7076 0.4894
Pm: 0.9454 0.8831 0.2394
Pm: 0.6184 0.4894 0.7076
Pm: 0.5546 0.7606 0.1169
Pm: 0.8816 0.2924 0.5106
Ho: 0.7500 0.5896 0.4104
Ho: 0.2500 0.4104 0.5896
Er: 0.4537 0.7992 0.7006
Er: 0.5463 0.2008 0.2994
Er: 0.9537 0.7006 0.7992
Er: 0.0463 0.2994 0.2008
Tb: 0.7500 0.0280 0.9720
Tb: 0.2500 0.9720 0.0280

Summary:
The value obtained for the total energy is -4.57 eV per atom. The symmetry is No. 15.

=====

Tb4Pm2HoEr after structural relaxation. Source: Alexandria via LeMat-Bulk, functional PBE.

Lattice parameters (Å, degrees): 9.5119 9.5131 11.8103 128.39 128.35 88.44
Each line ends with the local moment (μB).
Fractional positions:
Ho: 0.0000 0.5000 0.5000  0.27
Ho: 0.0000 0.5000 0.0000  0.27
Pm: 0.5000 0.0000 0.5000  0.26
Pm: 0.5000 0.0000 0.0000  0.26
Pm: 0.5000 0.5000 0.0000  0.23
Pm: 0.0000 0.0000 0.5000  0.23
Tb: 0.7485 0.7443 0.9932  0.29
Tb: 0.2523 0.7446 0.4983  0.29
Tb: 0.2515 0.2557 0.0068  0.29
Tb: 0.2447 0.7523 0.9983  0.29
Tb: 0.7557 0.7515 0.5068  0.29
Tb: 0.2443 0.2485 0.4932  0.29
Tb: 0.7477 0.2554 0.5017  0.29
Tb: 0.7554 0.2477 0.0017  0.29
Er: 0.0000 0.0000 0.0000  0.29
Er: 0.5000 0.5000 0.5000  0.29

Summary:
The value obtained for the total energy is -4.22 eV per atom. The symmetry is No. 15.

=====

Tb5PmHo2Er after structural relaxation. Source: Alexandria via LeMat-Bulk, functional PBE.

Lattice parameters (Å, degrees): 5.5906 10.3511 10.6050 90.00 90.00 105.67
Fractional positions:
Tb: 0.3000 0.6000 0.7066
Tb: 0.2818 0.5636 0.3063
Tb: 0.0173 0.0346 0.0249
Tb: 0.3930 0.7859 0.0240
Tb: 0.7000 0.4000 0.2066
Tb: 0.7182 0.4364 0.8063
Tb: 0.4790 0.9580 0.7391
Tb: 0.9827 0.9654 0.5249
Tb: 0.6070 0.2141 0.5240
Tb: 0.5210 0.0420 0.2391
Er: 0.4129 0.8258 0.4564
Er: 0.5871 0.1742 0.9564
Ho: 0.1143 0.2286 0.3185
Ho: 0.8857 0.7714 0.8185
Ho: 0.1091 0.2181 0.7377
Ho: 0.8909 0.7819 0.2377
Pm: 0.7990 0.5981 0.5105
Pm: 0.2010 0.4019 0.0105

Summary:
The value obtained for the total energy is -4.47 eV per atom. The symmetry is No. 36.

=====

Tb2PmHoEr5 after structural relaxation. Source: Alexandria via LeMat-Bulk, functional PBE.

Lattice parameters (Å, degrees): 8.8113 8.8113 9.6678 117.11 117.11 90.00
Fractional positions:
Tb: 0.8862 0.6138 0.0000
Tb: 0.3862 0.8862 0.0000
Tb: 0.6138 0.1138 0.0000
Tb: 0.1138 0.3862 0.0000
Er: 0.9274 0.4274 0.2676
Er: 0.5726 0.6598 0.7324
Er: 0.3402 0.8402 0.2676
Er: 0.8402 0.9274 0.2676
Er: 0.4274 0.3402 0.2676
Er: 0.0726 0.5726 0.7324
Er: 0.1598 0.0726 0.7324
Er: 0.0000 0.0000 0.0000
Er: 0.5000 0.5000 0.0000
Er: 0.6598 0.1598 0.7324
Pm: 0.7500 0.7500 0.5000
Pm: 0.2500 0.2500 0.5000
Ho: 0.2500 0.7500 0.5000
Ho: 0.7500 0.2500 0.5000

Summary:
The value obtained for the total energy is -4.31 eV per atom. The symmetry is No. 140.

=====

Tb2PmHoEr after structural relaxation. Source: Alexandria via LeMat-Bulk, functional PBE.

Lattice parameters (Å, degrees): 7.1919 8.3851 7.0977 126.21 90.00 90.00
Fractional positions:
Tb: 0.0000 0.3091 0.0000
Tb: 0.0000 0.6909 0.0000
Tb: 0.5000 0.3091 0.0000
Tb: 0.5000 0.6909 0.0000
Ho: 0.2500 0.9966 0.9932
Ho: 0.7500 0.0034 0.0068
Er: 0.2500 0.2747 0.5494
Er: 0.7500 0.7253 0.4506
Pm: 0.7500 0.2733 0.5467
Pm: 0.2500 0.7267 0.4533

Summary:
The value obtained for the total energy is -4.24 eV per atom. The symmetry is No. 63.

=====

TbPm6Ho2Er3 after structural relaxation. Source: Alexandria via LeMat-Bulk, functional PBE.

Lattice parameters (Å, degrees): 6.2238 6.2238 11.7861 95.03 95.03 119.99
Fractional positions:
Ho: 0.3334 0.6666 0.0000
Ho: 0.6666 0.3334 0.0000
Er: 0.8333 0.1667 0.5000
Er: 0.1667 0.8333 0.5000
Er: 0.5000 0.5000 0.5000
Pm: 0.4174 0.0839 0.2508
Pm: 0.2496 0.2496 0.7492
Pm: 0.7504 0.7504 0.2508
Pm: 0.5826 0.9161 0.7492
Pm: 0.9161 0.5826 0.7492
Pm: 0.0839 0.4174 0.2508
Tb: 0.0000 0.0000 0.0000

Summary:
The value obtained for the total energy is -4.65 eV per atom. The symmetry is No. 12.

=====

TbPm2Ho4Er after structural relaxation. Source: Alexandria via LeMat-Bulk, functional PBE.

Lattice parameters (Å, degrees): 9.4899 9.4899 11.7692 128.32 128.32 88.56
Each line ends with the local moment (μB).
Fractional positions:
Tb: 0.0000 0.5000 0.5000  0.28
Tb: 0.0000 0.5000 0.0000  0.28
Ho: 0.2490 0.2510 0.0034  0.30
Ho: 0.7546 0.2474 0.0008  0.29
Ho: 0.2490 0.2510 0.4966  0.30
Ho: 0.7510 0.7490 0.5034  0.30
Ho: 0.7510 0.7490 0.9966  0.30
Ho: 0.7474 0.2546 0.5008  0.29
Ho: 0.2454 0.7526 0.9992  0.29
Ho: 0.2526 0.7454 0.4992  0.29
Pm: 0.5000 0.5000 0.0000  0.24
Pm: 0.0000 0.0000 0.5000  0.24
Pm: 0.5000 0.0000 0.5000  0.26
Pm: 0.5000 0.0000 0.0000  0.26
Er: 0.0000 0.0000 0.0000  0.28
Er: 0.5000 0.5000 0.5000  0.28

Summary:
The value obtained for the total energy is -4.19 eV per atom. The symmetry is No. 74.

=====

Tb2Pm3HoEr6 after structural relaxation. Source: Alexandria via LeMat-Bulk, functional PBE.

Lattice parameters (Å, degrees): 6.1582 6.1582 11.7226 95.01 95.01 119.97
Fractional positions:
Er: 0.2506 0.2506 0.7526
Er: 0.7494 0.7494 0.2474
Er: 0.0826 0.4158 0.2473
Er: 0.4158 0.0826 0.2473
Er: 0.9174 0.5842 0.7527
Er: 0.5842 0.9174 0.7527
Ho: 0.0000 0.0000 0.0000
Tb: 0.3334 0.6666 0.0000
Tb: 0.6666 0.3334 0.0000
Pm: 0.1666 0.8334 0.5000
Pm: 0.5000 0.5000 0.5000
Pm: 0.8334 0.1666 0.5000

Summary:
The value obtained for the total energy is -4.60 eV per atom. The symmetry is No. 12.

=====

TbPmHo2Er5 after structural relaxation. Source: Alexandria via LeMat-Bulk, functional PBE.

Lattice parameters (Å, degrees): 5.5668 10.2213 10.5205 90.00 90.00 105.80
Fractional positions:
Tb: 0.2004 0.4007 0.0118
Tb: 0.7996 0.5993 0.5118
Er: 0.0180 0.0359 0.0256
Er: 0.7011 0.4021 0.2095
Er: 0.7184 0.4368 0.8107
Er: 0.3891 0.7783 0.0225
Er: 0.5215 0.0430 0.2365
Er: 0.6109 0.2217 0.5225
Er: 0.2989 0.5979 0.7095
Er: 0.9820 0.9641 0.5256
Er: 0.4785 0.9570 0.7365
Er: 0.2816 0.5632 0.3107
Ho: 0.1132 0.2264 0.3191
Ho: 0.1103 0.2206 0.7356
Ho: 0.8868 0.7736 0.8191
Ho: 0.8897 0.7794 0.2356
Pm: 0.4164 0.8327 0.4526
Pm: 0.5836 0.1673 0.9526

Summary:
The value obtained for the total energy is -4.43 eV per atom. The symmetry is No. 36.

=====

TbPm2HoEr4 after structural relaxation. Source: Alexandria via LeMat-Bulk, functional PBE.

Lattice parameters (Å, degrees): 9.4758 9.4758 11.7485 128.31 128.31 88.58
Each line ends with the local moment (μB).
Fractional positions:
Pm: 0.5000 0.5000 0.0000  0.24
Pm: 0.0000 0.0000 0.5000  0.24
Pm: 0.5000 0.0000 0.5000  0.27
Pm: 0.5000 0.0000 0.0000  0.27
Ho: 0.5000 0.5000 0.5000  0.29
Ho: 0.0000 0.0000 0.0000  0.29
Er: 0.2463 0.7520 0.9989  0.30
Er: 0.7507 0.7487 0.5028  0.30
Er: 0.2487 0.2507 0.0028  0.30
Er: 0.2520 0.7462 0.4989  0.30
Er: 0.7480 0.2537 0.5011  0.30
Er: 0.7513 0.7493 0.9972  0.30
Er: 0.7538 0.2480 0.0011  0.30
Er: 0.2493 0.2513 0.4972  0.30
Tb: 0.0000 0.5000 0.5000  0.28
Tb: 0.0000 0.5000 0.0000  0.28

Summary:
The value obtained for the total energy is -4.19 eV per atom. The symmetry is No. 74.

=====

Tb6Pm2Ho3Er after structural relaxation. Source: Alexandria via LeMat-Bulk, functional PBE.

Lattice parameters (Å, degrees): 6.1649 6.1649 11.8064 94.97 94.97 119.96
Fractional positions:
Ho: 0.1664 0.8336 0.5000
Ho: 0.5000 0.5000 0.5000
Ho: 0.8336 0.1664 0.5000
Pm: 0.6665 0.3335 0.0000
Pm: 0.3335 0.6665 0.0000
Tb: 0.0846 0.4171 0.2522
Tb: 0.5829 0.9154 0.7478
Tb: 0.7521 0.7521 0.2526
Tb: 0.4171 0.0846 0.2522
Tb: 0.2479 0.2479 0.7474
Tb: 0.9154 0.5829 0.7478
Er: 0.0000 0.0000 0.0000

Summary:
The value obtained for the total energy is -4.62 eV per atom. The symmetry is No. 12.

=====

Tb4Pm2Ho2Er after structural relaxation. Source: Alexandria via LeMat-Bulk, functional PBE.

Lattice parameters (Å, degrees): 3.5976 9.5086 9.5733 115.23 90.00 100.90
Fractional positions:
Ho: 0.6662 0.3324 0.0008
Ho: 0.3338 0.6676 0.9992
Tb: 0.8154 0.6308 0.6686
Tb: 0.4817 0.9633 0.6704
Tb: 0.1846 0.3692 0.3314
Tb: 0.5183 0.0367 0.3296
Er: 0.0000 0.0000 0.0000
Pm: 0.8519 0.7038 0.3334
Pm: 0.1481 0.2962 0.6666

Summary:
The value obtained for the total energy is -4.63 eV per atom. The symmetry is No. 12.

=====

Tb2Pm2HoEr after structural relaxation. Source: Alexandria via LeMat-Bulk, functional PBE.

Lattice parameters (Å, degrees): 5.6386 7.0001 9.7718 90.00 90.00 90.00
Fractional positions:
Ho: 0.5000 0.7575 0.3409
Ho: 0.5000 0.2575 0.6591
Er: 0.0000 0.0076 0.5000
Er: 0.0000 0.5076 0.5000
Pm: 0.0000 0.2577 0.1768
Pm: 0.0000 0.7577 0.8232
Pm: 0.5000 0.5076 0.0000
Pm: 0.5000 0.0076 0.0000
Tb: 0.5000 0.7576 0.6690
Tb: 0.0000 0.2577 0.8372
Tb: 0.0000 0.7577 0.1628
Tb: 0.5000 0.2576 0.3310

Summary:
The value obtained for the total energy is -4.59 eV per atom. The symmetry is No. 51.

=====

TbPm4Ho2Er2 after structural relaxation. Source: Alexandria via LeMat-Bulk, functional PBE.

Lattice parameters (Å, degrees): 5.0540 8.0110 8.0059 107.43 90.00 108.39
Fractional positions:
Pm: 0.5542 0.1085 0.3311
Pm: 0.7772 0.5544 0.6679
Pm: 0.4458 0.8915 0.6689
Pm: 0.2228 0.4456 0.3321
Tb: 0.0000 0.0000 0.0000
Ho: 0.8886 0.7773 0.3312
Ho: 0.1114 0.2227 0.6688
Er: 0.6675 0.3349 0.9998
Er: 0.3325 0.6651 0.0002

Summary:
The value obtained for the total energy is -4.64 eV per atom. The symmetry is No. 12.

=====

TbPmHoEr after structural relaxation. Source: Alexandria via LeMat-Bulk, functional PBE.

Lattice parameters (Å, degrees): 3.5793 3.5795 11.7077 90.00 98.79 119.99
Fractional positions:
Er: 0.4714 0.1333 0.6201
Tb: 0.3014 0.5483 0.8662
Ho: 0.1346 0.9655 0.1140
Pm: 0.9706 0.3837 0.3695

Summary:
The energy relative to the lowest polymorph listed for this composition comes out at 0 meV per atom. The symmetry is No. 160.

=====

Tb2PmHo4Er after structural relaxation. Source: Alexandria via LeMat-Bulk, functional PBE.

Lattice parameters (Å, degrees): 11.4760 7.1200 13.5039 105.27 148.19 90.00
Fractional positions:
Tb: 0.5000 0.0000 0.5000
Tb: 0.0000 0.0000 0.5000
Tb: 0.5000 0.0000 0.0000
Tb: 0.5000 0.5000 0.0000
Ho: 0.4169 0.8332 0.6662
Ho: 0.0830 0.6665 0.8336
Ho: 0.5831 0.1668 0.3338
Ho: 0.0830 0.1668 0.8336
Ho: 0.9170 0.3335 0.1664
Ho: 0.4170 0.3333 0.6664
Ho: 0.9170 0.8332 0.1664
Ho: 0.5830 0.6667 0.3336
Pm: 0.0000 0.5000 0.5000
Pm: 0.0000 0.5000 0.0000
Er: 0.5000 0.5000 0.5000
Er: 0.0000 0.0000 0.0000

Summary:
The value obtained for the total energy is -4.61 eV per atom. The symmetry is No. 2.

=====

TbPmHo3Er after structural relaxation. Source: Alexandria via LeMat-Bulk, functional PBE.

Lattice parameters (Å, degrees): 5.0150 7.9363 10.0377 90.00 90.00 108.49
Fractional positions:
Ho: 0.1681 0.3360 0.7500
Ho: 0.6674 0.3351 0.5000
Ho: 0.3326 0.6649 0.5000
Ho: 0.3326 0.6649 0.0000
Ho: 0.8319 0.6640 0.2500
Ho: 0.6674 0.3351 0.0000
Pm: 0.5001 0.0002 0.2500
Pm: 0.4999 0.9998 0.7500
Er: 0.8322 0.6646 0.7500
Er: 0.1678 0.3354 0.2500
Tb: 0.0000 0.0000 0.5000
Tb: 0.0000 0.0000 0.0000

Summary:
The value obtained for the total energy is -4.59 eV per atom. The symmetry is No. 11.

=====

Tb4PmHo2Er after structural relaxation. Source: Alexandria via LeMat-Bulk, functional PBE.

Lattice parameters (Å, degrees): 12.3110 7.1082 12.3070 106.83 146.41 89.98
Fractional positions:
Ho: 0.5000 0.0000 0.5000
Ho: 0.0000 0.0000 0.5000
Ho: 0.5000 0.5000 0.0000
Ho: 0.5000 0.0000 0.0000
Tb: 0.7493 0.2498 0.9993
Tb: 0.2507 0.7502 0.0007
Tb: 0.7514 0.7514 0.5020
Tb: 0.7480 0.7492 0.9982
Tb: 0.2501 0.7507 0.4999
Tb: 0.2486 0.2486 0.4980
Tb: 0.7499 0.2493 0.5001
Tb: 0.2520 0.2508 0.0019
Pm: 0.0000 0.5000 0.5000
Pm: 0.0000 0.5000 0.0000
Er: 0.0000 0.0000 0.0000
Er: 0.5000 0.5000 0.5000

Summary:
The value obtained for the total energy is -4.61 eV per atom. The symmetry is No. 2.